Record 1
A relaxed Ac2La2Nd7 crystal, computed with PBE.

Structure (CIF):
```
data_Ac2La2Nd7
_space_group_name_H-M_alt 'C 1 2/m 1'
_space_group_IT_number 12
_cell_length_a 11.491
_cell_length_b 9.540
_cell_length_c 8.400
_cell_angle_alpha 90.00
_cell_angle_beta 107.26
_cell_angle_gamma 90.00
loop_
_space_group_symop_operation_xyz
'x,y,z'
'-x,-y,-z'
'-x,y,-z'
'x,-y,z'
'x+1/2,y+1/2,z'
'-x+1/2,-y+1/2,-z'
'-x+1/2,y+1/2,-z'
'x+1/2,-y+1/2,z'
loop_
_atom_site_label
_atom_site_fract_x
_atom_site_fract_y
_atom_site_fract_z
Ac1 0.156 0.000 0.478
La1 0.000 0.342 0.000
Nd1 0.000 0.500 0.500
Nd2 0.107 0.000 0.891
Nd3 0.218 0.309 0.787
```

Properties
Final energy = -4.326 eV per atom
DOS at the Fermi energy = 37.95 states/eV/cell
ΔH_f (0 K) = 3.855 eV per formula unit

Record 2
A relaxed Nd2GdO crystal, computed with PBE.

Structure (CIF):
```
data_Nd2GdO
_space_group_name_H-M_alt 'R -3 m'
_space_group_IT_number 166
_space_group_name_Hall '-R 3 2"'
_cell_length_a 3.6326
_cell_length_b 3.6326
_cell_length_c 28.3244
_cell_angle_alpha 90.00
_cell_angle_beta 90.00
_cell_angle_gamma 120.00
loop_
_atom_site_label
_atom_site_fract_x
_atom_site_fract_y
_atom_site_fract_z
Nd1 0.0000 0.0000 0.1184
Gd1 0.0000 0.0000 0.0000
O1 0.0000 0.0000 0.5000
```

Properties
Final energy = -8.279 eV per atom
DOS at the Fermi energy = 17.74 states/eV/cell

Record 3
A relaxed Tb12Sm7Pb crystal, computed with PBE.

Structure (CIF):
```
data_Tb12Sm7Pb
_space_group_name_H-M_alt 'R -3'
_space_group_IT_number 148
_space_group_name_Hall '-R 3'
_cell_length_a 12.3257
_cell_length_b 12.3257
_cell_length_c 15.4658
_cell_angle_alpha 90.00
_cell_angle_beta 90.00
_cell_angle_gamma 120.00
loop_
_atom_site_label
_atom_site_fract_x
_atom_site_fract_y
_atom_site_fract_z
Tb1 0.0316 0.1869 0.3102
Tb2 0.0704 0.8089 0.9235
Sm1 0.0000 0.0000 0.5000
Sm2 0.0134 0.4372 0.2015
Pb1 0.0000 0.0000 0.0000
```

Properties
Final energy = -4.449 eV per atom
DOS at the Fermi energy = 110.68 states/eV/cell
ΔH_f (0 K) = 3.319 eV per formula unit

Record 4
A relaxed CdNi3Pt crystal, computed with PBE.

Structure (CIF):
```
data_CdNi3Pt
_space_group_name_H-M_alt 'P m -3 m'
_space_group_IT_number 221
_space_group_name_Hall '-P 4 2 3'
_cell_length_a 4.620
_cell_length_b 4.620
_cell_length_c 4.620
_cell_angle_alpha 90.00
_cell_angle_beta 90.00
_cell_angle_gamma 90.00
loop_
_atom_site_label
_atom_site_fract_x
_atom_site_fract_y
_atom_site_fract_z
Cd1 0.000 0.000 0.000
Ni1 0.000 0.500 0.500
Pt1 0.500 0.500 0.500
```

Properties
Final energy = -3.935 eV per atom
DOS at the Fermi energy = 8.42 states/eV/cell
ΔH_f (0 K) = 4.624 eV per formula unit

Please write out number 4 again, unchanged.
A relaxed CdNi3Pt crystal, computed with PBE.

Structure (CIF):
```
data_CdNi3Pt
_space_group_name_H-M_alt 'P m -3 m'
_space_group_IT_number 221
_space_group_name_Hall '-P 4 2 3'
_cell_length_a 4.620
_cell_length_b 4.620
_cell_length_c 4.620
_cell_angle_alpha 90.00
_cell_angle_beta 90.00
_cell_angle_gamma 90.00
loop_
_atom_site_label
_atom_site_fract_x
_atom_site_fract_y
_atom_site_fract_z
Cd1 0.000 0.000 0.000
Ni1 0.000 0.500 0.500
Pt1 0.500 0.500 0.500
```

Properties
Final energy = -3.935 eV per atom
DOS at the Fermi energy = 8.42 states/eV/cell
ΔH_f (0 K) = 4.624 eV per formula unit

Copy entry 4 word for word.
A relaxed CdNi3Pt crystal, computed with PBE.

Structure (CIF):
```
data_CdNi3Pt
_space_group_name_H-M_alt 'P m -3 m'
_space_group_IT_number 221
_space_group_name_Hall '-P 4 2 3'
_cell_length_a 4.620
_cell_length_b 4.620
_cell_length_c 4.620
_cell_angle_alpha 90.00
_cell_angle_beta 90.00
_cell_angle_gamma 90.00
loop_
_atom_site_label
_atom_site_fract_x
_atom_site_fract_y
_atom_site_fract_z
Cd1 0.000 0.000 0.000
Ni1 0.000 0.500 0.500
Pt1 0.500 0.500 0.500
```

Properties
Final energy = -3.935 eV per atom
DOS at the Fermi energy = 8.42 states/eV/cell
ΔH_f (0 K) = 4.624 eV per formula unit

- Which of these has the lowest final energy?
  Nd2GdO